one.
YTlHg GGA-PBE relaxed; V = 27.69 A^3/atom
1.0
3.408 0.000 0.000
0.000 5.836 0.000
0.000 0.000 16.707
Y Tl Hg
4 4 4
Direct
0.000 0.000 0.156
0.000 0.000 0.844
0.500 0.500 0.344
0.500 0.500 0.656
0.000 0.251 0.500
0.000 0.749 0.500
0.500 0.249 0.000
0.500 0.751 0.000
0.000 0.000 0.335
0.000 0.000 0.665
0.500 0.500 0.165
0.500 0.500 0.835



two.
YTlHg GGA-PBE relaxed; V = 30.57 A^3/atom
1.0
7.159 0.000 0.000
0.000 7.159 0.000
0.000 0.000 7.159
Y Tl Hg
4 4 4
Direct
0.000 0.000 0.000
0.000 0.500 0.500
0.500 0.000 0.500
0.500 0.500 0.000
0.250 0.250 0.250
0.250 0.750 0.750
0.750 0.250 0.750
0.750 0.750 0.250
0.250 0.250 0.750
0.250 0.750 0.250
0.750 0.250 0.250
0.750 0.750 0.750



In terms of stability, one leads; the second structure lies 124 meV per atom higher.



one.
YTlHg GGA-PBE relaxed; V = 32.34 A^3/atom
1.0
5.052 0.000 0.000
0.000 3.640 0.000
-0.112 0.000 5.276
Y Tl Hg
1 1 1
Direct
0.000 0.000 0.000
0.000 0.500 0.500
0.500 0.500 0.000



two.
YTlHg GGA-PBE relaxed; V = 26.47 A^3/atom
1.0
5.066 0.000 0.000
0.000 4.092 0.000
-2.497 0.000 7.660
Y Tl Hg
2 2 2
Direct
0.160 0.000 0.319
0.840 0.000 0.681
0.000 0.500 0.000
0.500 0.000 0.000
0.320 0.500 0.642
0.680 0.500 0.358



In terms of stability, two leads; the second structure lies 165 meV per atom higher.



one.
YTlHg GGA-PBE relaxed; V = 26.40 A^3/atom
1.0
3.746 0.000 0.000
-0.009 4.928 0.000
-0.029 -0.033 8.582
Y Tl Hg
2 2 2
Direct
0.000 0.250 0.216
0.000 0.750 0.784
0.317 0.250 0.571
0.683 0.750 0.429
0.462 0.750 0.094
0.538 0.250 0.906



two.
YTlHg GGA-PBE relaxed; V = 40.50 A^3/atom
1.0
4.847 0.000 0.000
-2.423 4.197 0.000
0.000 0.000 11.946
Y Tl Hg
2 2 2
Direct
0.000 0.000 0.000
0.000 0.000 0.500
0.000 0.000 0.250
0.000 0.000 0.750
0.333 0.667 0.250
0.667 0.333 0.750



three.
YTlHg GGA-PBE relaxed; V = 25.94 A^3/atom
1.0
5.303 0.000 0.000
-2.652 4.593 0.000
0.000 0.000 6.389
Y Tl Hg
2 2 2
Direct
0.333 0.667 0.250
0.667 0.333 0.750
0.333 0.667 0.750
0.667 0.333 0.250
0.000 0.000 0.000
0.000 0.000 0.500



In terms of stability, one leads; the second structure lies 48 meV per atom higher.



one.
YTlHg GGA-PBE relaxed; V = 26.48 A^3/atom
1.0
4.761 0.000 0.000
-0.045 6.483 0.000
-2.371 -3.169 5.148
Y Tl Hg
2 2 2
Direct
0.177 0.234 0.358
0.823 0.766 0.642
0.495 0.243 0.995
0.505 0.757 0.005
0.152 0.710 0.300
0.848 0.290 0.700



two.
YTlHg GGA-PBE relaxed; V = 26.87 A^3/atom
1.0
3.691 0.000 0.000
0.000 4.609 0.000
0.000 0.000 9.477
Y Tl Hg
2 2 2
Direct
0.000 0.000 0.000
0.500 0.500 0.500
0.000 0.000 0.335
0.500 0.500 0.835
0.000 0.000 0.665
0.500 0.500 0.165



In terms of stability, one leads; the second structure lies 115 meV per atom higher.



one.
YTlHg GGA-PBE relaxed; V = 27.05 A^3/atom
1.0
4.569 0.000 0.000
0.000 4.569 0.000
0.000 0.000 7.774
Y Tl Hg
2 2 2
Direct
0.250 0.250 0.180
0.750 0.750 0.820
0.250 0.750 0.500
0.750 0.250 0.500
0.250 0.250 0.795
0.750 0.750 0.205



two.
YTlHg GGA-PBE relaxed; V = 26.05 A^3/atom
1.0
4.674 0.000 0.000
0.000 4.835 0.000
-2.316 0.000 6.916
Y Tl Hg
2 2 2
Direct
0.100 0.250 0.201
0.900 0.750 0.799
0.420 0.250 0.841
0.580 0.750 0.159
0.250 0.750 0.499
0.750 0.250 0.501



three.
YTlHg GGA-PBE relaxed; V = 28.53 A^3/atom
1.0
3.849 0.000 0.000
-1.924 3.333 0.000
0.000 0.000 6.672
Y Tl Hg
1 1 1
Direct
0.000 0.000 0.000
0.333 0.667 0.644
0.667 0.333 0.324



In terms of stability, two leads; the second structure lies 36 meV per atom higher.



one.
YTl2Hg2 GGA-PBE relaxed; V = 27.65 A^3/atom
1.0
8.182 0.000 0.000
0.000 8.182 0.000
0.000 0.000 4.129
Y Tl Hg
2 4 4
Direct
0.000 0.000 0.000
0.500 0.500 0.000
0.175 0.325 0.500
0.325 0.825 0.500
0.675 0.175 0.500
0.825 0.675 0.500
0.129 0.629 0.000
0.371 0.129 0.000
0.629 0.871 0.000
0.871 0.371 0.000



two.
YTl2Hg2 GGA-PBE relaxed; V = 28.54 A^3/atom
1.0
4.104 0.000 0.000
0.000 4.104 0.000
0.000 0.000 16.951
Y Tl Hg
2 4 4
Direct
0.000 0.000 0.000
0.500 0.500 0.500
0.000 0.000 0.400
0.000 0.000 0.600
0.500 0.500 0.100
0.500 0.500 0.900
0.000 0.500 0.250
0.000 0.500 0.750
0.500 0.000 0.250
0.500 0.000 0.750



three.
YTl2Hg2 GGA-PBE relaxed; V = 29.00 A^3/atom
1.0
4.281 0.000 0.000
0.000 4.281 0.000
0.000 0.000 15.827
Y Tl Hg
2 4 4
Direct
0.000 0.000 0.000
0.500 0.500 0.500
0.000 0.500 0.250
0.000 0.500 0.750
0.500 0.000 0.250
0.500 0.000 0.750
0.000 0.000 0.407
0.000 0.000 0.593
0.500 0.500 0.093
0.500 0.500 0.907



four.
YTl2Hg2 GGA-PBE relaxed; V = 27.43 A^3/atom
1.0
8.474 0.000 0.000
0.000 8.474 0.000
0.000 0.000 3.821
Y Tl Hg
2 4 4
Direct
0.000 0.000 0.000
0.500 0.500 0.000
0.134 0.366 0.000
0.366 0.866 0.000
0.634 0.134 0.000
0.866 0.634 0.000
0.169 0.669 0.500
0.331 0.169 0.500
0.669 0.831 0.500
0.831 0.331 0.500



In terms of stability, one leads; the second structure lies 63 meV per atom higher.